Rb2CoF4 | PBE+U | optimized geometry

- Density: 4.1 Mg/m³
- Energy: -32.1 eV per cell
- Magnetic moment: 3.0 Bohr magnetons per cell
- Fermi-level density of states: 0.00 states/eV/f.u.
- Crystal system: tetragonal

```
Rb2CoF4
1.0
-2.106 2.106 6.936
2.106 -2.106 6.936
2.106 2.106 -6.936
Rb Co F
2 1 4
Direct
0.146 0.146 0.000
0.854 0.854 0.000
0.500 0.500 0.000
0.000 0.500 0.500
0.353 0.353 0.000
0.500 0.000 0.500
0.647 0.647 0.000
```